SmDy6Er3: optimized geometry, GGA-PBE.

Cell lengths 10.972, 18.888, 6.165 Å; angles 90.00, 90.00, 90.00 degrees
Space group Cmc2_1 (No. 36)
Inequivalent atoms, fractional coordinates:
Sm: 0.000 0.206 0.000 (multiplicity 4)
Dy: 0.000 0.046 0.233 (multiplicity 4)
Dy: 0.000 0.282 0.505 (multiplicity 4)
Dy: 0.165 0.454 0.614 (multiplicity 8)
Dy: 0.248 0.290 0.784 (multiplicity 8)
Er: 0.000 0.389 0.076 (multiplicity 4)
Er: 0.172 0.109 0.691 (multiplicity 8)

Total energy in eV/atom: -4.45
Fermi-level density of states in states/eV/atom: 1.39
Calculated density in g cm⁻³: 8.5
E above lowest polymorph in kJ/mol of formula units: 23.8